DFT (GGA-PBEsol) results for a geometry-optimized BeHgPb structure.

Lattice parameters (Å, degrees): 4.2316 4.2316 4.0838 90.00 90.00 120.00
Last column: nearest neighbours and their distance in Å.
Space group P3m1 (No. 156)
Symmetry-distinct sites (fractional):
Be (0.0000, 0.0000, 0.0000) (multiplicity 1)  3 Hg 2.44
Hg (0.3333, 0.6667, 0.0017) (multiplicity 1)  3 Be 2.44
Pb (0.6667, 0.3333, 0.5017) (multiplicity 1)  6 Be 3.18-3.19, 6 Hg 3.18

Uncorrected energy   -2.512 eV per atom
Crystal system   trigonal